Entry from the Alexandria database: a relaxed KTbGd2 crystal (PBE).

Lattice parameters (Å, degrees): 3.6085 3.6085 39.7380 90.00 90.00 120.00
Space group R-3m (No. 166, hexagonal axes)
One atom of each set of equivalent atoms:
K 0.0000 0.0000 0.0000 [3 per cell]
Tb 0.0000 0.0000 0.5000 [3 per cell]
Gd 0.0000 0.0000 0.0959 [6 per cell]

Summary:
ΔH_f (0 K) = 218.8 meV per atom
E_tot = -8.254 eV/atom
Calculated volume = 37.344 Å³/atom

***

Entry from the Alexandria database: a relaxed KGd2Tc crystal (PBE).

Lattice parameters (Å, degrees): 3.5081 3.5081 10.6223 90.00 90.00 90.00
Space group P4/mmm (No. 123)
One atom of each set of equivalent atoms:
K 0.0000 0.0000 0.0000 [1 per cell]
Gd 0.5000 0.5000 0.3462 [2 per cell]
Tc 0.0000 0.0000 0.5000 [1 per cell]

Summary:
ΔH_f (0 K) = 103.9 meV per atom
E_tot = -9.802 eV/atom
Calculated volume = 32.682 Å³/atom

***

Entry from the Alexandria database: a relaxed KGdTe4 crystal (PBE).

Lattice parameters (Å, degrees): 6.8656 6.8656 8.9537 90.00 90.00 90.00
Space group P4/nbm (No. 125, origin choice 2)
One atom of each set of equivalent atoms:
K 0.2500 0.2500 0.0000 [2 per cell]
Gd 0.2500 0.2500 0.5000 [2 per cell]
Te 0.1039 0.6039 0.2905 [8 per cell]

Summary:
Energy relative to the elements, uncorrected = -0.94 eV/atom
E_tot = -5.569 eV/atom
Calculated volume = 35.170 Å³/atom

***

Entry from the Alexandria database: a relaxed KGdTl4 crystal (PBE).

Lattice parameters (Å, degrees): 9.0969 9.0969 9.0969 90.00 90.00 90.00
Space group F-43m (No. 216)
One atom of each set of equivalent atoms:
K 0.0000 0.0000 0.0000 [4 per cell]
Gd 0.2500 0.2500 0.7500 [4 per cell]
Tl 0.1246 0.1246 0.3754 [16 per cell]

Summary:
ΔH_f (0 K) = -27.4 meV per atom
E_tot = -4.135 eV/atom
Calculated volume = 31.367 Å³/atom

***

Entry from the Alexandria database: a relaxed KGd2Tm crystal (PBE).

Lattice parameters (Å, degrees): 3.5838 3.5838 39.5051 90.00 90.00 120.00
Space group R-3m (No. 166, hexagonal axes)
One atom of each set of equivalent atoms:
K 0.0000 0.0000 0.0000 [3 per cell]
Gd 0.0000 0.0000 0.0963 [6 per cell]
Tm 0.0000 0.0000 0.5000 [3 per cell]

Summary:
ΔH_f (0 K) = 220.5 meV per atom
E_tot = -8.212 eV/atom
Calculated volume = 36.617 Å³/atom

***

Entry from the Alexandria database: a relaxed La2Gd crystal (PBE).

Lattice parameters (Å, degrees): 3.6976 3.6976 15.5517 90.00 90.00 90.00
Space group I4/mmm (No. 139)
One atom of each set of equivalent atoms:
La 0.0000 0.0000 0.1656 [4 per cell]
Gd 0.0000 0.0000 0.5000 [2 per cell]

Summary:
ΔH_f (0 K) = 1.4 meV per atom
E_tot = -7.977 eV/atom
Calculated volume = 35.438 Å³/atom

***

Entry from the Alexandria database: a relaxed La3Gd crystal (PBE).

Lattice parameters (Å, degrees): 3.5213 3.5383 11.6271 90.00 90.00 90.00
Space group Pmm2 (No. 25)
One atom of each set of equivalent atoms:
La 0.0000 0.0000 0.0000 [1 per cell]
La 0.0000 0.5000 0.4936 [1 per cell]
La 0.5000 0.0000 0.7330 [1 per cell]
Gd 0.5000 0.5000 0.2299 [1 per cell]

Summary:
ΔH_f (0 K) = 170.1 meV per atom
E_tot = -7.046 eV/atom
Calculated volume = 36.217 Å³/atom

***

Entry from the Alexandria database: a relaxed LaGd2 crystal (PBE).

Lattice parameters (Å, degrees): 9.5276 9.5276 9.5276 90.00 90.00 90.00
Space group Fd-3m (No. 227, origin choice 2)
One atom of each set of equivalent atoms:
La 0.1250 0.1250 0.1250 [8 per cell]
Gd 0.0000 0.0000 0.5000 [16 per cell]

Summary:
ΔH_f (0 K) = 229.9 meV per atom
E_tot = -10.800 eV/atom
Calculated volume = 36.037 Å³/atom

***

Entry from the Alexandria database: a relaxed La3Gd crystal (PBE).

Lattice parameters (Å, degrees): 8.3432 8.3432 8.3432 90.00 90.00 90.00
Space group Fm-3m (No. 225)
One atom of each set of equivalent atoms:
La 0.0000 0.0000 0.0000 [4 per cell]
La 0.2500 0.2500 0.2500 [8 per cell]
Gd 0.0000 0.0000 0.5000 [4 per cell]

Summary:
ΔH_f (0 K) = 108.3 meV per atom
E_tot = -7.107 eV/atom
Calculated volume = 36.298 Å³/atom

***

Entry from the Alexandria database: a relaxed La3Gd crystal (PBE).

Lattice parameters (Å, degrees): 3.7406 12.0000 6.4814 90.00 90.00 90.00
Space group Imm2 (No. 44)
One atom of each set of equivalent atoms:
La 0.0000 0.0000 0.0000 [2 per cell]
La 0.0000 0.2487 0.3345 [4 per cell]
Gd 0.0000 0.5000 0.0011 [2 per cell]

Summary:
ΔH_f (0 K) = 28.0 meV per atom
E_tot = -7.188 eV/atom
Calculated volume = 36.367 Å³/atom

***

Entry from the Alexandria database: a relaxed LaGd2 crystal (PBE).

Lattice parameters (Å, degrees): 4.2261 4.2261 11.5584 90.00 90.00 90.00
Space group I4/mmm (No. 139)
One atom of each set of equivalent atoms:
La 0.0000 0.0000 0.0000 [2 per cell]
Gd 0.0000 0.0000 0.3267 [4 per cell]

Summary:
ΔH_f (0 K) = 83.2 meV per atom
E_tot = -10.947 eV/atom
Calculated volume = 34.406 Å³/atom

***

Entry from the Alexandria database: a relaxed La3Gd crystal (PBE).

Lattice parameters (Å, degrees): 5.2197 5.2197 5.2197 90.00 90.00 90.00
Space group Pm-3m (No. 221)
One atom of each set of equivalent atoms:
La 0.0000 0.0000 0.5000 [3 per cell]
Gd 0.5000 0.5000 0.5000 [1 per cell]

Summary:
ΔH_f (0 K) = 5.8 meV per atom
E_tot = -7.210 eV/atom
Calculated volume = 35.552 Å³/atom